The following is a PBE with a Hubbard U calculation of a geometry-optimized Y2MoO structure, from the Alexandria database.

Computed properties:
Final energy   -7.11 eV per atom
Symmetry   I-42d
Volume   25.0 Å³/atom

abc: 6.817 6.817 6.460
angles: 58.15 58.15 90.00
Fractional coordinates of all 8 atoms:
Y 0.507 0.125 0.250
Mo 0.000 0.000 0.000
Y 0.375 0.493 0.750
Mo 0.750 0.250 0.500
O 0.500 0.500 0.000
O 0.250 0.750 0.500
Y 0.243 0.625 0.250
Y 0.875 0.757 0.750